1.
## Ho3HgPd4 (PBE)

Data for an optimized crystal structure of Ho3HgPd4.

Output
The calculated volume is 163.1 Å³/f.u. Its symmetry is Pmma. For the formation energy from the elements, the calculation gives -6.3 eV/f.u.

a b c (Å): 4.8491 6.9345 9.6986
angles (deg): 90.00 90.00 90.00
Closest atoms and distances in Å follow each position.
Sites, in units of the cell vectors:
Ho 0.5009 0.0000 0.7500  8 Pd 2.95
Ho 0.4991 0.0000 0.2500  8 Pd 2.95
Ho 0.4984 0.5000 0.2500  8 Pd 3.01
Ho 0.0000 0.0000 0.5000  8 Pd 2.95
Ho 0.0000 0.0000 0.0000  8 Pd 2.95
Ho 0.5016 0.5000 0.7500  8 Pd 3.01
Pd 0.5000 0.7580 0.0000  6 Ho 2.95-3.01, 2 Hg 3.01
Pd 0.5000 0.2420 0.0000  6 Ho 2.95-3.01, 2 Hg 3.01
Pd 0.9981 0.2422 0.2500  6 Ho 2.95-3.01, 2 Hg 3.01
Pd 0.5000 0.7580 0.5000  6 Ho 2.95-3.01, 2 Hg 3.01
Pd 0.9981 0.7578 0.2500  6 Ho 2.95-3.01, 2 Hg 3.01
Pd 0.5000 0.2420 0.5000  6 Ho 2.95-3.01, 2 Hg 3.01
Pd 0.0019 0.7578 0.7500  6 Ho 2.95-3.01, 2 Hg 3.01
Pd 0.0019 0.2422 0.7500  6 Ho 2.95-3.01, 2 Hg 3.01
Hg 0.0000 0.5000 0.0000  8 Pd 3.01
Hg 0.0000 0.5000 0.5000  8 Pd 3.01


2.
## Ho2HgPd3 (PBE)

Data for an optimized crystal structure of Ho2HgPd3.

Output
The calculated volume is 135.6 Å³/f.u. Its symmetry is Cmcm. For the formation energy from the elements, the calculation gives -3.8 eV/f.u.

a b c (Å): 5.6089 7.3517 7.3517
angles (deg): 116.51 90.00 90.00
Closest atoms and distances in Å follow each position.
Sites, in units of the cell vectors:
Pd 0.4696 0.1669 0.8332  2 Pd 2.80, 4 Ho 2.87-2.88, 2 Hg 2.89
Pd 0.4696 0.8332 0.1669  2 Pd 2.80, 4 Ho 2.87-2.88, 2 Hg 2.89
Pd 0.9696 0.5001 0.5001  2 Pd 2.80, 2 Hg 2.82, 4 Ho 2.84
Pd 0.4696 0.4999 0.4999  2 Pd 2.80, 2 Hg 2.82, 4 Ho 2.84
Pd 0.9696 0.8331 0.1668  2 Pd 2.80, 4 Ho 2.87-2.88, 2 Hg 2.89
Pd 0.9696 0.1668 0.8331  2 Pd 2.80, 4 Ho 2.87-2.88, 2 Hg 2.89
Ho 0.2198 0.8414 0.5121  6 Pd 2.84-2.88
Ho 0.7198 0.4879 0.1586  6 Pd 2.84-2.88
Ho 0.7198 0.1586 0.4879  6 Pd 2.84-2.88
Ho 0.2198 0.5121 0.8414  6 Pd 2.84-2.88
Hg 0.2194 0.1834 0.1834  6 Pd 2.82-2.89
Hg 0.7194 0.8166 0.8166  6 Pd 2.82-2.89


3.
## Ho6HgPd (PBE)

Data for an optimized crystal structure of Ho6HgPd.

Output
The calculated volume is 241.6 Å³/f.u. Its symmetry is C2/m. For the formation energy from the elements, the calculation gives -0.8 eV/f.u.

a b c (Å): 6.7167 6.7167 6.7436
angles (deg): 102.40 102.40 118.84
Closest atoms and distances in Å follow each position.
Sites, in units of the cell vectors:
Ho 0.9285 0.5342 0.7440  1 Pd 2.87, 1 Hg 2.98
Ho 0.2642 0.2642 0.7339  1 Pd 2.69
Ho 0.4658 0.0715 0.2560  1 Pd 2.87, 1 Hg 2.98
Ho 0.5342 0.9285 0.7440  1 Pd 2.87, 1 Hg 2.98
Ho 0.7358 0.7358 0.2661  1 Pd 2.69
Ho 0.0715 0.4658 0.2560  1 Pd 2.87, 1 Hg 2.98
Hg 0.0000 0.0000 0.0000  6 Ho 2.98-3.04
Pd 0.5000 0.5000 0.5000  6 Ho 2.69-2.87